(1)
Compound: DyAgMo
Source: OQMD via LeMat-Bulk
Functional: GGA-PBE
Structure: relaxed

Properties
**SG**: F-43m (216)
**DFT total energy**: -5.1323 eV/atom
**Polymorph energy (0 for the lowest one)**: 0 meV per atom

Cell: 4.691 4.691 4.691 Å, 60.00 60.00 60.00°
Element x y z (fractional)
Dy  0.000  0.000  0.000
Ag  0.500  0.500  0.500
Mo  0.750  0.750  0.750

(2)
Compound: NaDyAgSe3
Source: OQMD via LeMat-Bulk
Functional: GGA-PBE
Structure: relaxed

Properties
**SG**: Cmcm (63)
**DFT total energy**: -4.2346 eV/atom

Cell: 7.339 7.339 10.641 Å, 90.00 90.00 148.37°
Element x y z (fractional)
Na  0.238  0.762  0.750
Na  0.762  0.238  0.250
Dy  0.000  0.000  0.000
Dy  0.000  0.000  0.500
Ag  0.469  0.531  0.250
Ag  0.531  0.469  0.750
Se  0.091  0.909  0.250
Se  0.360  0.640  0.055
Se  0.360  0.640  0.445
Se  0.640  0.360  0.555
Se  0.640  0.360  0.945
Se  0.909  0.091  0.750

(3)
Compound: DyNbAg
Source: OQMD via LeMat-Bulk
Functional: GGA-PBE
Structure: relaxed

Properties
**SG**: F-43m (216)
**DFT total energy**: -4.8668 eV/atom
**Polymorph energy (0 for the lowest one)**: 0 meV per atom

Cell: 4.716 4.716 4.716 Å, 60.00 60.00 60.00°
Element x y z (fractional)
Dy  0.000  0.000  0.000
Nb  0.750  0.750  0.750
Ag  0.500  0.500  0.500

(4)
Compound: DyNbAg
Source: OQMD via LeMat-Bulk
Functional: GGA-PBE
Structure: relaxed

Properties
**SG**: F-43m (216)
**DFT total energy**: -4.7041 eV/atom
**Polymorph energy (0 for the lowest one)**: 163 meV per atom

Cell: 4.789 4.789 4.789 Å, 60.00 60.00 60.00°
Element x y z (fractional)
Dy  0.000  0.000  0.000
Nb  0.250  0.250  0.250
Ag  0.750  0.750  0.750